(1)
Compound: CrSb2As
Source: Alexandria via LeMat-Bulk
Functional: PBE
Structure: optimized geometry

The calculation puts the formation energy from raw total energies at 23.2 kJ per mole of atoms.

The structure belongs to space group R-3m (No. 166, hexagonal axes); the cell edges are 3.9412, 3.9412 and 20.5716 Å and the angles 90.00°, 90.00° and 120.00°. The distinct sites, in fractional coordinates, are Cr at (0.0000, 0.0000, 0.0000), Sb at (0.0000, 0.0000, 0.2544) and As at (0.0000, 0.0000, 0.5000).

***

(2)
Compound: Nd5Sm2Cd
Source: Alexandria via LeMat-Bulk
Functional: PBE
Structure: optimized geometry

For the formation energy, the calculation gives -0.040 eV/atom.

The structure belongs to space group I4/mmm (No. 139); the cell edges are 7.1940, 7.1940 and 10.0952 Å and the angles 90.00°, 90.00° and 90.00°. The distinct sites, in fractional coordinates, are Nd at (0.0000, 0.0000, 0.0000), Nd at (0.2500, 0.2500, 0.2500), Sm at (0.0000, 0.5000, 0.0000) and Cd at (0.0000, 0.0000, 0.5000).

***

(3)
Compound: NaAcNiSn
Source: Alexandria via LeMat-Bulk
Functional: PBE
Structure: optimized geometry

For the formation energy, the calculation gives -0.199 eV/atom.

The structure belongs to space group F-43m (No. 216); the cell edges are 7.1955, 7.1955 and 7.1955 Å and the angles 90.00°, 90.00° and 90.00°. The distinct sites, in fractional coordinates, are Na at (0.0000, 0.0000, 0.0000), Ac at (0.2500, 0.2500, 0.7500), Ni at (0.0000, 0.0000, 0.5000) and Sn at (0.2500, 0.2500, 0.2500).

***

(4)
Compound: BAu2C
Source: Alexandria via LeMat-Bulk
Functional: PBE
Structure: optimized geometry

For the formation energy, the calculation gives 0.291 eV/atom. The polymorph energy (0 for the lowest one) comes out at 0 meV per atom.

The structure belongs to space group C2 (No. 5); the cell edges are 2.8331, 4.9116 and 7.3320 Å and the angles 90.00°, 95.47° and 90.00°. The distinct sites, in fractional coordinates, are B at (0.0000, 0.0000, 0.0000), Au at (0.0395, 0.7788, 0.3175) and C at (0.0000, 0.6623, 0.0000).

***

(5)
Compound: Li2MnPdN
Source: Alexandria via LeMat-Bulk
Functional: PBE
Structure: optimized geometry

The calculation puts the formation energy from raw total energies at -33.4 kJ per mole of atoms.

The structure belongs to space group P4/mmm (No. 123); the cell edges are 3.9902, 3.9902 and 3.7085 Å and the angles 90.00°, 90.00° and 90.00°. The distinct sites, in fractional coordinates, are Li at (0.0000, 0.5000, 0.0000), Mn at (0.0000, 0.0000, 0.5000), Pd at (0.5000, 0.5000, 0.5000) and N at (0.0000, 0.0000, 0.0000).

***

(6)
Compound: Pr2AsRh
Source: Alexandria via LeMat-Bulk
Functional: PBE
Structure: optimized geometry

For the formation energy, the calculation gives -0.889 eV/atom.

The structure belongs to space group R-3m (No. 166, hexagonal axes); the cell edges are 4.2251, 4.2251 and 21.0362 Å and the angles 90.00°, 90.00° and 120.00°. The distinct sites, in fractional coordinates, are Pr at (0.0000, 0.0000, 0.2474), As at (0.0000, 0.0000, 0.0000) and Rh at (0.0000, 0.0000, 0.5000).